# Pm2TlPd (PBE, optimized geometry)
data_Pm2TlPd
_chemical_formula_sum 'Pm6 Tl3 Pd3'
_symmetry_space_group_name_H-M 'P 1'
_symmetry_Int_Tables_number 1
_cell_length_a 3.9930
_cell_length_b 3.9930
_cell_length_c 25.4087
_cell_angle_alpha 90.00
_cell_angle_beta 90.00
_cell_angle_gamma 120.00
loop_
_symmetry_equiv_pos_as_xyz
'x,y,z'
loop_
_atom_site_label
_atom_site_fract_x
_atom_site_fract_y
_atom_site_fract_z
Pm1 0.0000 0.0000 0.2371
Pm2 0.0000 0.0000 0.7629
Pm3 0.3333 0.6667 0.4296
Pm4 0.3333 0.6667 0.9037
Pm5 0.6667 0.3333 0.0963
Pm6 0.6667 0.3333 0.5704
Tl1 0.0000 0.0000 0.0000
Tl2 0.3333 0.6667 0.6667
Tl3 0.6667 0.3333 0.3333
Pd1 0.0000 0.0000 0.5000
Pd2 0.3333 0.6667 0.1667
Pd3 0.6667 0.3333 0.8333
# SG = No. 166
# uncorrected energy = -4.721 eV/atom
# E_form = -1.82 eV/f.u.